No. 1
A relaxed Ga3SbPd crystal. Source: Alexandria via LeMat-Bulk, functional PBEsol.

Output
The value obtained for the total energy is -15.91 eV for the cell shown. The uncorrected formation energy is 4.63 eV per formula unit. As for the space group: Pm-3m.

Lattice parameters (Å, degrees): 5.1558 5.1558 5.1558 90.00 90.00 90.00
Fractional coordinates of all 5 atoms:
Ga (0.0000, 0.0000, 0.5000)
Ga (0.0000, 0.5000, 0.0000)
Ga (0.5000, 0.0000, 0.0000)
Sb (0.0000, 0.0000, 0.0000)
Pd (0.5000, 0.5000, 0.5000)


No. 2
A relaxed LiO2 crystal. Source: Alexandria via LeMat-Bulk, functional PBEsol.

Output
The value obtained for the total energy is -30.52 eV for the cell shown. The uncorrected formation energy is -2.79 eV per formula unit. As for the space group: Pnnm.

Lattice parameters (Å, degrees): 4.0671 4.8304 2.5774 90.00 90.00 90.00
Fractional coordinates of all 6 atoms:
Li (0.0000, 0.0000, 0.0000)
Li (0.5000, 0.5000, 0.5000)
O (0.1216, 0.4080, 0.0000)
O (0.3784, 0.9080, 0.5000)
O (0.6216, 0.0920, 0.5000)
O (0.8784, 0.5920, 0.0000)


No. 3
A relaxed P2Rh3 crystal. Source: Alexandria via LeMat-Bulk, functional PBEsol.

Output
For the formation energy, the calculation gives -0.7292 eV per atom. The value obtained for the total energy is -39.64 eV for the cell shown. As for the space group: P-4m2.

Lattice parameters (Å, degrees): 3.3089 3.3089 6.2061 90.00 90.00 90.00
Fractional coordinates of all 5 atoms:
P (0.0000, 0.5000, 0.2444)
P (0.5000, 0.0000, 0.7556)
Rh (0.0000, 0.0000, 0.5000)
Rh (0.0000, 0.5000, 0.8682)
Rh (0.5000, 0.0000, 0.1318)